*a*
A relaxed structure of AlCuRh. Source: Alexandria via LeMat-Bulk, functional PBE.

Cell lengths 4.376, 4.376, 5.074 Å; angles 90.00, 90.00, 123.46 degrees
Sites, in units of the cell vectors:
Al: 0.140 0.860 0.750
Al: 0.860 0.140 0.250
Cu: 0.500 0.500 0.000
Cu: 0.500 0.500 0.500
Rh: 0.187 0.813 0.250
Rh: 0.813 0.187 0.750

## Properties
Magnetization in μB per cell: 0.000
Crystal system: orthorhombic

*b*
A relaxed structure of AlCuRh. Source: Alexandria via LeMat-Bulk, functional PBE.

Cell lengths 4.013, 4.013, 4.013 Å; angles 60.00, 60.00, 60.00 degrees
Sites, in units of the cell vectors:
Al: 0.000 0.000 0.000
Cu: 0.750 0.750 0.750
Rh: 0.250 0.250 0.250

## Properties
Magnetization in μB per cell: 0.000
Crystal system: cubic

Which is most stable? The ranking, best first, is *a*, *b*.

*a*
A relaxed structure of Al8CuRh2. Source: Alexandria via LeMat-Bulk, functional PBE.

Cell lengths 6.896, 6.896, 5.075 Å; angles 93.26, 93.26, 45.26 degrees
Sites, in units of the cell vectors:
Al: 0.079 0.079 0.364
Al: 0.156 0.659 0.125
Al: 0.289 0.289 0.642
Al: 0.341 0.844 0.875
Al: 0.659 0.156 0.125
Al: 0.711 0.711 0.358
Al: 0.844 0.341 0.875
Al: 0.921 0.921 0.636
Cu: 0.500 0.500 0.500
Rh: 0.241 0.241 0.133
Rh: 0.759 0.759 0.867

## Properties
Magnetization in μB per cell: 0.000
Crystal system: monoclinic

*b*
A relaxed structure of Al8CuRh2. Source: Alexandria via LeMat-Bulk, functional PBE.

Cell lengths 4.741, 5.190, 7.688 Å; angles 109.57, 107.54, 90.54 degrees
Sites, in units of the cell vectors:
Al: 0.101 0.103 0.204
Al: 0.249 0.428 0.998
Al: 0.316 0.568 0.644
Al: 0.327 0.075 0.642
Al: 0.673 0.925 0.358
Al: 0.684 0.432 0.356
Al: 0.751 0.572 0.002
Al: 0.899 0.897 0.796
Cu: 0.500 0.000 0.000
Rh: 0.162 0.660 0.321
Rh: 0.838 0.340 0.679

## Properties
Magnetization in μB per cell: 0.000
Crystal system: triclinic

Which is most stable? The ranking, best first, is *b*, *a*.

*a*
A relaxed structure of AlCuRu. Source: Alexandria via LeMat-Bulk, functional PBE.

Cell lengths 4.131, 4.131, 2.722 Å; angles 90.00, 90.00, 120.00 degrees
Sites, in units of the cell vectors:
Al: 0.000 0.000 0.000
Cu: 0.333 0.667 0.004
Ru: 0.667 0.333 0.503

## Properties
Magnetization in μB per cell: 0.001
Crystal system: trigonal

*b*
A relaxed structure of AlCuRu. Source: Alexandria via LeMat-Bulk, functional PBE.

Cell lengths 6.492, 6.281, 2.701 Å; angles 82.20, 73.45, 24.35 degrees
Sites, in units of the cell vectors:
Al: 0.000 0.000 0.000
Cu: 0.336 0.336 0.664
Ru: 0.660 0.660 0.340

## Properties
Magnetization in μB per cell: 0.001
Crystal system: orthorhombic

Which is most stable? The ranking, best first, is *a*, *b*.